No. 1
The following is a GGA-PBE calculation of an optimized crystal structure of MgAl2Mo, from the Alexandria database.

ΔH_f (0 K), eV per atom: 0.006
SG: C2/m, No. 12
Calculated total energy, eV for the cell shown: -19.9

Cell: 4.8618 4.8618 5.2223 Å, 95.92 95.92 33.02°
Closest atoms and distances in Å follow each position.
Element x y z (fractional)
1 Mg 0.0000 0.0000 0.0000  2 Mg 2.76, 6 Al 2.79-3.00, 4 Mo 2.95
2 Al 0.2416 0.2416 0.7286  4 Al 2.76-2.78, 3 Mg 2.79-3.00, 3 Mo 2.80
3 Al 0.7584 0.7584 0.2714  4 Al 2.76-2.78, 3 Mg 2.79-3.00, 3 Mo 2.80
4 Mo 0.5000 0.5000 0.5000  2 Mo 2.76, 6 Al 2.80, 4 Mg 2.95

---

No. 2
The following is a GGA-PBE calculation of an optimized crystal structure of BaPu2CrN4, from the Alexandria database.

SG: Cmcm, No. 63
Calculated total energy, eV for the cell shown: -163.0
Uncorrected formation energy, kJ/mol of atoms: -96.5

Cell: 6.3604 6.3604 11.7589 Å, 90.00 90.00 147.86°
Closest atoms and distances in Å follow each position.
Element x y z (fractional)
1 Ba 0.0890 0.9110 0.7500  8 N 2.95-3.13, 1 Cr 3.26
2 Ba 0.9110 0.0890 0.2500  8 N 2.95-3.13, 1 Cr 3.26
3 Pu 0.3696 0.6304 0.5443  6 N 2.34-2.44
4 Pu 0.3696 0.6304 0.9557  6 N 2.34-2.44
5 Pu 0.6304 0.3696 0.0443  6 N 2.34-2.44
6 Pu 0.6304 0.3696 0.4557  6 N 2.34-2.44
7 Cr 0.1778 0.8222 0.2500  4 N 1.85-1.97
8 Cr 0.8222 0.1778 0.7500  4 N 1.85-1.97
9 N 0.0000 0.0000 0.0000  4 Pu 2.43
10 N 0.0000 0.0000 0.5000  4 Pu 2.43
11 N 0.2503 0.7497 0.1118  1 Cr 1.85
12 N 0.2503 0.7497 0.3882  1 Cr 1.85
13 N 0.3950 0.6050 0.7500  2 Cr 1.97
14 N 0.6050 0.3950 0.2500  2 Cr 1.97
15 N 0.7497 0.2503 0.6118  1 Cr 1.85
16 N 0.7497 0.2503 0.8882  1 Cr 1.85

---

No. 3
The following is a GGA-PBE calculation of an optimized crystal structure of Ta2ZnP, from the Alexandria database.

ΔH_f (0 K), eV per atom: -0.117
SG: Cm, No. 8
Calculated total energy, eV for the cell shown: -30.9

Cell: 5.0400 5.0400 4.5082 Å, 104.60 104.60 34.99°
Closest atoms and distances in Å follow each position.
Element x y z (fractional)
1 Ta 0.0000 0.0000 0.0000  3 P 2.59-2.82, 4 Zn 2.74-2.77
2 Ta 0.2022 0.2022 0.6195  3 Zn 2.65-2.79, 4 P 2.67-2.78, 2 Ta 2.91-2.95
3 Zn 0.4501 0.4501 0.4684  7 Ta 2.65-2.79, 2 P 2.76
4 P 0.7264 0.7264 0.1176  7 Ta 2.59-2.82, 2 Zn 2.76

---

No. 4
The following is a GGA-PBE calculation of an optimized crystal structure of BeZnCdAg2, from the Alexandria database.

ΔH_f (0 K), eV per atom: 0.413
SG: P4/mmm, No. 123
Calculated total energy, eV for the cell shown: -9.6

Cell: 4.5087 4.5087 4.6359 Å, 90.00 90.00 90.00°
Closest atoms and distances in Å follow each position.
Element x y z (fractional)
1 Be 0.0000 0.0000 0.0000  4 Ag 2.25, 2 Cd 2.32
2 Zn 0.5000 0.5000 0.5000  4 Cd 3.19, 8 Ag 3.23
3 Cd 0.0000 0.0000 0.5000  2 Be 2.32
4 Ag 0.0000 0.5000 0.0000  2 Be 2.25
5 Ag 0.5000 0.0000 0.0000  2 Be 2.25

---

No. 5
The following is a GGA-PBE calculation of an optimized crystal structure of NdTm2Tl, from the Alexandria database.

ΔH_f (0 K), eV per atom: -0.170
SG: P4/mmm, No. 123
Calculated total energy, eV for the cell shown: -16.8

Cell: 3.6301 3.6301 9.0507 Å, 90.00 90.00 90.00°
Closest atoms and distances in Å follow each position.
Element x y z (fractional)
1 Nd 0.0000 0.0000 0.0000  8 Tm 3.58, 4 Nd 3.63
2 Tm 0.5000 0.5000 0.2763  4 Tl 3.27, 4 Nd 3.58, 4 Tm 3.63
3 Tm 0.5000 0.5000 0.7237  4 Tl 3.27, 4 Nd 3.58, 4 Tm 3.63
4 Tl 0.0000 0.0000 0.5000  8 Tm 3.27, 4 Tl 3.63

---

Which value of calculated total energy does entry 3 give? -30.9 eV for the cell shown

---

calculated total energy of number 2 (BaPu2CrN4)? -163.0 eV for the cell shown